Compound: CaPm3Ga2
Source: the Alexandria database
Functional: PBE
Structure: relaxed

Formation energy from the elements ... -0.399 eV/atom
Density ... 6.14 g/cm3
V ... 332.2 Å³/cell
Relative energy among the computed polymorphs ... 0 meV/atom

Cell lengths 5.2170, 6.7789, 9.3930 Å; angles 90.00, 90.00, 90.00 degrees
Closest atoms and distances in Å follow each position.
Element x y z (fractional)
1 Ga 0.5000 0.2287 0.1540  6 Pm 3.09-3.25, 1 Ca 3.21
2 Ca 0.5000 0.0126 0.4581  3 Ga 3.21-3.28, 5 Pm 3.42-3.57, 2 Ca 3.48
3 Pm 0.5000 0.1980 0.8263  4 Ga 3.08-3.19, 1 Ca 3.42
4 Ga 0.0000 0.7684 0.3413  5 Pm 3.07-3.21, 2 Ca 3.28
5 Ga 0.5000 0.7287 0.8460  6 Pm 3.09-3.25, 1 Ca 3.21
6 Pm 0.5000 0.6980 0.1737  4 Ga 3.08-3.19, 1 Ca 3.42
7 Pm 0.0000 0.4914 0.9599  3 Ga 3.21-3.25, 7 Pm 3.46-3.58
8 Pm 0.0000 0.9914 0.0401  3 Ga 3.21-3.25, 7 Pm 3.46-3.58
9 Ca 0.5000 0.5127 0.5419  3 Ga 3.21-3.28, 5 Pm 3.42-3.57, 2 Ca 3.48
10 Pm 0.0000 0.8008 0.6672  4 Ga 3.07-3.17
11 Pm 0.0000 0.3008 0.3328  4 Ga 3.07-3.17
12 Ga 0.0000 0.2684 0.6587  5 Pm 3.07-3.21, 2 Ca 3.28

***

Compound: Lu2ZnPb
Source: the Alexandria database
Functional: PBE
Structure: relaxed

Formation energy from the elements ... -0.325 eV/atom
Density ... 10.65 g/cm3
V ... 97.1 Å³/cell

Cell lengths 3.5240, 3.5240, 7.8177 Å; angles 90.00, 90.00, 90.00 degrees
Closest atoms and distances in Å follow each position.
Element x y z (fractional)
1 Lu 0.0000 0.0000 0.2198  4 Zn 3.03, 4 Pb 3.32
2 Lu 0.0000 0.0000 0.7802  4 Zn 3.03, 4 Pb 3.32
3 Zn 0.5000 0.5000 0.0000  8 Lu 3.03
4 Pb 0.5000 0.5000 0.5000  8 Lu 3.32, 4 Pb 3.52

***

Compound: CuO
Source: the Alexandria database
Functional: PBE
Structure: relaxed

Energy relative to the elements, uncorrected ... -0.4894 eV per atom
Density ... 6.13 g/cm3
V ... 129.3 Å³/cell

Cell lengths 3.8048, 3.5711, 9.5140 Å; angles 90.00, 90.00, 90.00 degrees
Closest atoms and distances in Å follow each position.
Element x y z (fractional)
1 O 0.5000 0.9088 0.8340  4 Cu 1.93-2.15
2 Cu 0.0000 0.7986 0.8369  4 O 1.91-1.94
3 O 0.0000 0.4852 0.0000  4 Cu 1.91-2.00
4 Cu 0.5000 0.2014 0.6631  4 O 1.91-1.94
5 Cu 0.0000 0.6848 0.5000  4 O 2.00-2.15
6 O 0.5000 0.9088 0.1660  4 Cu 1.93-2.15
7 O 0.0000 0.0912 0.3340  4 Cu 1.93-2.15
8 Cu 0.5000 0.3152 0.0000  4 O 2.00-2.15
9 Cu 0.0000 0.7986 0.1631  4 O 1.91-1.94
10 O 0.0000 0.0912 0.6660  4 Cu 1.93-2.15
11 Cu 0.5000 0.2014 0.3369  4 O 1.91-1.94
12 O 0.5000 0.5148 0.5000  4 Cu 1.91-2.00

***

Compound: CsBaSN2
Source: the Alexandria database
Functional: PBE
Structure: relaxed

Energy relative to the elements, uncorrected ... 0.7636 eV per atom
Density ... 3.09 g/cm3
V ... 177.4 Å³/cell
Relative energy among the computed polymorphs ... 0 meV/atom

Cell lengths 5.4428, 5.4428, 5.9898 Å; angles 90.00, 90.00, 90.00 degrees
Closest atoms and distances in Å follow each position.
Element x y z (fractional)
1 Cs 0.5000 0.5000 0.5000  4 S 3.85, 8 N 4.05
2 N 0.5000 0.0000 0.0000  2 Ba 2.72
3 Ba 0.0000 0.0000 0.0000  4 N 2.72, 2 S 2.99
4 N 0.0000 0.5000 0.0000  2 Ba 2.72
5 S 0.0000 0.0000 0.5000  2 Ba 2.99

***

Compound: HoPu2Sc3Se6
Source: the Alexandria database
Functional: PBE
Structure: relaxed

Energy relative to the elements, uncorrected ... -1.6081 eV per atom
Density ... 7.77 g/cm3
V ... 269.6 Å³/cell

Cell lengths 3.9697, 8.0253, 8.9382 Å; angles 103.44, 102.83, 90.00 degrees
Closest atoms and distances in Å follow each position.
Element x y z (fractional)
1 Sc 0.5000 0.5000 0.0000  6 Se 2.75-2.77
2 Se 0.6691 0.0703 0.3381  3 Sc 2.75-2.76, 1 Ho 2.87, 2 Pu 2.90
3 Se 0.6626 0.5936 0.3253  3 Sc 2.75, 3 Pu 2.90-2.91
4 Se 0.3309 0.9297 0.6619  3 Sc 2.75-2.76, 1 Ho 2.87, 2 Pu 2.90
5 Sc 0.8323 0.1669 0.6645  6 Se 2.75-2.76
6 Se 0.3374 0.4064 0.6747  3 Sc 2.75, 3 Pu 2.90-2.91
7 Se 0.0055 0.7441 0.0110  3 Sc 2.75-2.77, 2 Ho 2.87, 1 Pu 2.90
8 Se 0.9945 0.2559 0.9890  3 Sc 2.75-2.77, 2 Ho 2.87, 1 Pu 2.90
9 Ho 0.5000 0.0000 0.0000  6 Se 2.87
10 Sc 0.1677 0.8331 0.3355  6 Se 2.75-2.76
11 Pu 0.8343 0.6676 0.6686  6 Se 2.90-2.91
12 Pu 0.1657 0.3324 0.3314  6 Se 2.90-2.91

***

Compound: ZrGe2S6
Source: the Alexandria database
Functional: PBE
Structure: relaxed

Energy relative to the elements, uncorrected ... -0.6160 eV per atom
Density ... 3.29 g/cm3
V ... 432.4 Å³/cell

Cell lengths 6.4594, 8.2741, 8.2741 Å; angles 85.40, 81.78, 81.78 degrees
Closest atoms and distances in Å follow each position.
Element x y z (fractional)
1 S 0.6227 0.2915 0.4536  2 Ge 2.25
2 S 0.3773 0.7085 0.5464  2 Ge 2.25
3 S 0.8498 0.8812 0.3990  1 Ge 2.23, 1 Zr 2.46
4 S 0.8813 0.1787 0.0440  1 Ge 2.28
5 Ge 0.1738 0.6236 0.7723  4 S 2.23-2.28
6 S 0.3813 0.0440 0.1787  1 Ge 2.28
7 S 0.1187 0.8213 0.9560  1 Ge 2.28
8 Ge 0.6738 0.7723 0.6236  4 S 2.23-2.28
9 Zr 0.7500 0.8758 0.1242  4 S 2.46-2.58
10 Ge 0.3262 0.2277 0.3764  4 S 2.23-2.28
11 S 0.8773 0.5464 0.7085  2 Ge 2.25
12 S 0.6502 0.6010 0.1188  1 Ge 2.23, 1 Zr 2.46
13 Ge 0.8262 0.3764 0.2277  4 S 2.23-2.28
14 S 0.6187 0.9560 0.8213  1 Ge 2.28
15 S 0.3498 0.3990 0.8812  1 Ge 2.23, 1 Zr 2.46
16 S 0.1227 0.4536 0.2915  2 Ge 2.25
17 S 0.1502 0.1188 0.6010  1 Ge 2.23, 1 Zr 2.46
18 Zr 0.2500 0.1242 0.8758  4 S 2.46-2.58